AcTbNdS3, optimized geometry, DFT GGA-PBE; formation energy (no corrections) = -10.90 eV/f.u.; magnetization = 1.2 Bohr magnetons per cell
1.0
-1.799 2.650 2.518
-6.656 -4.184 -0.350
4.907 -4.295 8.026
Nd S Tb Ac
2 6 2 2
Cartesian
-4.902 -3.038 4.641
1.354 -2.790 5.553
0.046 -5.086 7.035
-3.050 -5.189 4.931
3.232 -3.590 7.735
-6.780 -2.239 2.458
-3.594 -0.742 3.159
-0.497 -0.639 5.262
0.835 -3.321 9.037
-4.383 -2.507 1.156
-0.653 -0.966 2.199
-2.894 -4.862 7.995